A plane-wave DFT calculation with GGA-PBE was carried out for a relaxed structure of RbTmNb.

Its spin magnetization is 4.9 μB per cell. As for the distance to the lowest polymorph of the same formula: 0 meV/atom. As for the symmetry: F-43m, No. 216.

Lattice parameters (Å, degrees): 5.5442 5.5442 5.5442 60.00 60.00 60.00
With the nearest neighbours (Å) after each atom.
Element x y z (fractional)
Rb  0.0000  0.0000  0.0000  4 Nb 3.40
Tm  0.5000  0.5000  0.5000  4 Nb 3.40
Nb  0.2500  0.2500  0.2500  4 Tm 3.40, 4 Rb 3.40



A plane-wave DFT calculation with GGA-PBE was carried out for a relaxed structure of ZnPbSO.

As for the distance to the lowest polymorph of the same formula: 101 meV/atom. As for the symmetry: Amm2, No. 38.

Lattice parameters (Å, degrees): 5.9297 6.5902 6.5902 33.76 90.00 90.00
With the nearest neighbours (Å) after each atom.
Element x y z (fractional)
Zn  0.0000  0.0000  0.0000  2 O 1.99
Zn  0.5000  0.2106  0.2106  2 O 1.99
Pb  0.0000  0.7117  0.7117  4 O 2.76, 2 S 3.04
Pb  0.5000  0.5004  0.5004  4 O 2.77, 2 S 3.05
S  0.0000  0.3989  0.3989  2 Zn 2.30
S  0.5000  0.8118  0.8118  2 Zn 2.30
O  0.2491  0.1059  0.1059  2 Zn 1.99
O  0.7509  0.1059  0.1059  2 Zn 1.99



A plane-wave DFT calculation with GGA-PBE was carried out for a relaxed structure of BeInTc2.

Its spin magnetization is 0.0 μB per cell. As for the symmetry: F-43m, No. 216.

Lattice parameters (Å, degrees): 4.3623 4.3623 4.3623 60.00 60.00 60.00
With the nearest neighbours (Å) after each atom.
Element x y z (fractional)
Be  0.0000  0.0000  0.0000  4 In 2.67, 4 Tc 2.67
In  0.7500  0.7500  0.7500  4 Tc 2.67, 4 Be 2.67
Tc  0.2500  0.2500  0.2500  4 Tc 2.67, 4 Be 2.67
Tc  0.5000  0.5000  0.5000  4 In 2.67, 4 Tc 2.67



A plane-wave DFT calculation with GGA-PBE was carried out for a relaxed structure of CdGeO3.

As for the symmetry: R-3c, No. 167.

Lattice parameters (Å, degrees): 5.2831 5.2831 5.2831 60.17 60.17 60.17
With the nearest neighbours (Å) after each atom.
Element x y z (fractional)
Cd  0.2500  0.2500  0.2500  3 O 2.20
Cd  0.7500  0.7500  0.7500  3 O 2.20
Ge  0.0000  0.0000  0.0000  6 O 1.92
Ge  0.5000  0.5000  0.5000  6 O 1.92
O  0.1658  0.7500  0.3342  2 Ge 1.92
O  0.2500  0.6658  0.8342  2 Ge 1.92
O  0.3342  0.1658  0.7500  2 Ge 1.92
O  0.6658  0.8342  0.2500  2 Ge 1.92
O  0.7500  0.3342  0.1658  2 Ge 1.92
O  0.8342  0.2500  0.6658  2 Ge 1.92



A plane-wave DFT calculation with GGA-PBE was carried out for a relaxed structure of Er4Si4Ni2Sn.

Its spin magnetization is 0.0 μB per cell. As for the symmetry: C2/m, No. 12.

Lattice parameters (Å, degrees): 7.8281 7.8281 6.9170 108.43 108.43 30.93
With the nearest neighbours (Å) after each atom.
Element x y z (fractional)
Er  0.0878  0.0878  0.3844  7 Si 2.88-3.23, 3 Ni 2.98-2.99
Er  0.1555  0.1555  0.9383  5 Si 2.89-3.03, 1 Ni 2.95
Er  0.8445  0.8445  0.0617  5 Si 2.89-3.03, 1 Ni 2.95
Er  0.9122  0.9122  0.6156  7 Si 2.88-3.23, 3 Ni 2.98-2.99
Si  0.2935  0.2935  0.7261  3 Ni 2.37-2.44
Si  0.4337  0.4337  0.3472  1 Ni 2.33, 1 Si 2.39
Si  0.5663  0.5663  0.6528  1 Ni 2.33, 1 Si 2.39
Si  0.7065  0.7065  0.2739  3 Ni 2.37-2.44
Ni  0.2824  0.2824  0.3660  4 Si 2.33-2.44
Ni  0.7176  0.7176  0.6340  4 Si 2.33-2.44
Sn  0.5000  0.5000  0.0000  4 Si 2.89-3.07



A plane-wave DFT calculation with GGA-PBE was carried out for a relaxed structure of KAg2AsS2O2.

As for the distance to the lowest polymorph of the same formula: 10 meV/atom. As for the symmetry: C2, No. 5.

Lattice parameters (Å, degrees): 5.8104 5.8104 6.2483 119.18 119.18 65.85
With the nearest neighbours (Å) after each atom.
Element x y z (fractional)
K  0.0000  0.0000  0.0000  2 O 2.87, 4 S 3.15-3.17
Ag  0.2039  0.3074  0.7352  2 O 2.40-2.41, 2 S 2.52-2.57
Ag  0.6926  0.7961  0.2648  2 O 2.40-2.41, 2 S 2.52-2.57
As  0.4099  0.5901  0.5000  2 O 1.73
S  0.4933  0.2340  0.1656  1 As 2.20
S  0.7660  0.5067  0.8344  1 As 2.20
O  0.1243  0.6162  0.5401  1 As 1.73
O  0.3838  0.8757  0.4599  1 As 1.73



A plane-wave DFT calculation with GGA-PBE was carried out for a relaxed structure of CsNbTe3Pd.

Its spin magnetization is 0.0 μB per cell. As for the symmetry: P2_1/m, No. 11.

Lattice parameters (Å, degrees): 9.5227 3.9863 10.7552 90.00 113.54 90.00
With the nearest neighbours (Å) after each atom.
Element x y z (fractional)
Cs  0.0099  0.2500  0.2828  8 Te 3.74-4.18, 2 Cs 3.99
Cs  0.9901  0.7500  0.7172  8 Te 3.74-4.18, 2 Cs 3.99
Nb  0.4629  0.2500  0.1794  6 Te 2.71-2.93, 2 Pd 2.97
Nb  0.5371  0.7500  0.8206  6 Te 2.71-2.93, 2 Pd 2.97
Te  0.2400  0.7500  0.1367  1 Pd 2.69, 2 Nb 2.81
Te  0.3210  0.7500  0.5636  1 Nb 2.71, 3 Pd 2.73-2.78
Te  0.3509  0.2500  0.8826  3 Nb 2.92-2.93
Te  0.6491  0.7500  0.1174  3 Nb 2.92-2.93
Te  0.6790  0.2500  0.4364  1 Nb 2.71, 3 Pd 2.73-2.78
Te  0.7600  0.2500  0.8633  1 Pd 2.69, 2 Nb 2.81
Pd  0.4673  0.7500  0.3855  4 Te 2.69-2.78, 2 Nb 2.97
Pd  0.5327  0.2500  0.6145  4 Te 2.69-2.78, 2 Nb 2.97



A plane-wave DFT calculation with GGA-PBE was carried out for a relaxed structure of LaSmGa2I2.

Its spin magnetization is 0.0 μB per cell. As for the symmetry: P3m1, No. 156.

Lattice parameters (Å, degrees): 4.3217 4.3217 12.5246 90.00 90.00 120.00
With the nearest neighbours (Å) after each atom.
Element x y z (fractional)
La  0.0000  0.0000  0.0000  3 Ga 3.10, 3 I 3.28
Sm  0.0000  0.0000  0.6634  3 Ga 3.04, 3 I 3.21
Ga  0.3333  0.6667  0.8536  3 Ga 2.58
Ga  0.6667  0.3333  0.8024  3 Ga 2.58
I  0.3333  0.6667  0.5025  3 Sm 3.21
I  0.6667  0.3333  0.1704  3 La 3.28



Number 1: electronic total energy -3.49 eV/atom. Number 2: electronic total energy -4.36 eV/atom. Number 3: electronic total energy -6.56 eV/atom. Number 4: electronic total energy -5.40 eV/atom. Number 5: electronic total energy -5.81 eV/atom. Number 6: electronic total energy -4.36 eV/atom. Number 7: electronic total energy -4.89 eV/atom. Number 8: electronic total energy -4.23 eV/atom.